VASP calculation (GGA-PBE) on an optimized crystal structure of CrTeIr2.

a b c (Å): 2.8981 2.8981 7.7351
angles (deg): 90.00 90.00 90.02
Element x y z (fractional)
Cr1 0.5000 0.5000 0.7500
Ir1 0.0000 0.0000 0.9566
Ir2 0.0000 0.0000 0.5434
Te1 0.5000 0.5000 0.2500

Properties
The spin magnetization comes out at 0.28 μB/f.u. The value obtained for the raw total energy is -7.31 eV/atom. Its uncorrected formation energy is 308.1 meV per atom.


VASP calculation (GGA-PBE) on an optimized crystal structure of CrTeIr2.

a b c (Å): 3.6846 3.0087 6.6109
angles (deg): 62.97 90.00 90.00
Element x y z (fractional)
Cr1 0.5000 0.7500 0.7500
Ir1 0.0000 0.0290 0.9717
Ir2 0.0000 0.4710 0.5283
Te1 0.5000 0.2500 0.2500

Properties
The spin magnetization comes out at 2.31 μB/f.u. The value obtained for the raw total energy is -7.36 eV/atom. Its uncorrected formation energy is 258.1 meV per atom.


VASP calculation (GGA-PBE) on an optimized crystal structure of CrTeIr2.

a b c (Å): 8.9769 8.9769 8.9769
angles (deg): 18.95 18.95 18.95
Element x y z (fractional)
Cr1 0.7500 0.7500 0.7500
Ir1 0.0104 0.0104 0.0104
Ir2 0.4896 0.4896 0.4896
Te1 0.2500 0.2500 0.2500

Properties
The spin magnetization comes out at 2.00 μB/f.u. The value obtained for the raw total energy is -7.22 eV/atom. Its uncorrected formation energy is 406.2 meV per atom.


VASP calculation (GGA-PBE) on an optimized crystal structure of CrTeIr2.

a b c (Å): 4.6751 4.6751 4.8749
angles (deg): 80.21 80.21 38.73
Element x y z (fractional)
Cr1 0.2500 0.2500 0.2500
Ir1 0.9905 0.9905 0.0284
Ir2 0.5095 0.5095 0.4716
Te1 0.7500 0.7500 0.7500

Properties
The spin magnetization comes out at 2.45 μB/f.u. The value obtained for the raw total energy is -7.36 eV/atom. Its uncorrected formation energy is 265.5 meV per atom.


VASP calculation (GGA-PBE) on an optimized crystal structure of CrTeIr.

a b c (Å): 3.1365 3.1383 12.1472
angles (deg): 90.00 90.00 119.98
Element x y z (fractional)
Cr1 0.4432 0.8864 0.0000
Cr2 0.4458 0.8917 0.5000
Ir1 0.7789 0.5579 0.3544
Ir2 0.7789 0.5579 0.6456
Te1 0.1098 0.2197 0.8460
Te2 0.1098 0.2197 0.1540

Properties
The spin magnetization comes out at 0.81 μB/f.u. The value obtained for the raw total energy is -6.74 eV/atom. Its uncorrected formation energy is 470.0 meV per atom.


VASP calculation (GGA-PBE) on an optimized crystal structure of CrTeIr2.

a b c (Å): 4.4735 4.4735 4.4735
angles (deg): 60.00 60.00 60.00
Element x y z (fractional)
Cr1 0.5000 0.5000 0.5000
Ir1 0.0000 0.0000 0.0000
Ir2 0.2500 0.2500 0.2500
Te1 0.7500 0.7500 0.7500

Properties
The spin magnetization comes out at 0.69 μB/f.u. The value obtained for the raw total energy is -7.09 eV/atom. Its uncorrected formation energy is 535.0 meV per atom.


VASP calculation (GGA-PBE) on an optimized crystal structure of CrTeIr.

a b c (Å): 3.8941 3.8138 17.4269
angles (deg): 90.00 90.00 90.00
Element x y z (fractional)
Cr1 0.5000 0.0000 0.1247
Cr2 0.5000 0.5000 0.6247
Cr3 0.5000 0.0000 0.5354
Cr4 0.5000 0.5000 0.0354
Ir1 0.0000 0.0000 0.6362
Ir2 0.0000 0.5000 0.1362
Ir3 0.0000 0.0000 0.0322
Ir4 0.0000 0.5000 0.5322
Te1 0.5000 0.0000 0.7389
Te2 0.5000 0.5000 0.2389
Te3 0.0000 0.0000 0.4254
Te4 0.0000 0.5000 0.9254

Properties
The spin magnetization comes out at 0.33 μB/f.u. The value obtained for the raw total energy is -7.40 eV/atom. Its uncorrected formation energy is -195.9 meV per atom.


VASP calculation (GGA-PBE) on an optimized crystal structure of CrTeIr.

a b c (Å): 3.7996 3.8789 9.0157
angles (deg): 90.00 102.18 90.00
Element x y z (fractional)
Cr1 0.6018 0.3992 0.7563
Cr2 0.6814 0.8992 0.9152
Te1 0.9867 0.3991 0.5264
Te2 0.2963 0.8992 0.1451
Ir1 0.0901 0.8992 0.7329
Ir2 0.1930 0.3992 0.9386

Properties
The spin magnetization comes out at 0.00 μB/f.u. The value obtained for the raw total energy is -7.46 eV/atom. Its uncorrected formation energy is -255.4 meV per atom.


VASP calculation (GGA-PBE) on an optimized crystal structure of CrTeIr2.

a b c (Å): 3.8947 4.0560 4.0560
angles (deg): 90.00 90.00 90.00
Element x y z (fractional)
Cr1 0.5000 0.0000 0.5000
Ir1 0.0000 0.0000 0.0000
Ir2 0.0000 0.5000 0.5000
Te1 0.5000 0.5000 0.0000

Properties
The spin magnetization comes out at 2.81 μB/f.u. The value obtained for the raw total energy is -7.39 eV/atom. Its uncorrected formation energy is 234.2 meV per atom.


VASP calculation (GGA-PBE) on an optimized crystal structure of CrTeIr.

a b c (Å): 4.7445 4.7445 4.7445
angles (deg): 134.79 134.69 65.94
Element x y z (fractional)
Cr1 0.9895 0.9895 0.0000
Ir1 0.3426 0.3426 0.0000
Te1 0.6678 0.6678 0.0000

Properties
The spin magnetization comes out at 3.11 μB/f.u. The value obtained for the raw total energy is -6.80 eV/atom. Its uncorrected formation energy is 412.7 meV per atom.


VASP calculation (GGA-PBE) on an optimized crystal structure of CrTeIr.

a b c (Å): 6.0489 6.0486 3.0655
angles (deg): 75.33 75.32 29.36
Element x y z (fractional)
Cr1 0.0184 0.0184 0.9816
Ir1 0.6397 0.6397 0.3603
Te1 0.3419 0.3419 0.6581

Properties
The spin magnetization comes out at 2.08 μB/f.u. The value obtained for the raw total energy is -6.80 eV/atom. Its uncorrected formation energy is 405.6 meV per atom.


VASP calculation (GGA-PBE) on an optimized crystal structure of CrTe3Ir.

a b c (Å): 4.9410 4.9410 4.9410
angles (deg): 90.00 90.00 90.00
Element x y z (fractional)
Cr1 0.0000 0.0000 0.0000
Ir1 0.5000 0.5000 0.5000
Te1 0.0000 0.5000 0.0000
Te2 0.0000 0.0000 0.5000
Te3 0.5000 0.0000 0.0000

Properties
The spin magnetization comes out at 1.27 μB/f.u. The value obtained for the raw total energy is -4.51 eV/atom. Its uncorrected formation energy is 1069.4 meV per atom.


VASP calculation (GGA-PBE) on an optimized crystal structure of CrTeIr.

a b c (Å): 4.3634 4.3634 4.3634
angles (deg): 60.00 60.00 60.00
Element x y z (fractional)
Cr1 0.5000 0.5000 0.5000
Ir1 0.2500 0.2500 0.2500
Te1 0.0000 0.0000 0.0000

Properties
The spin magnetization comes out at 3.00 μB/f.u. The value obtained for the raw total energy is -7.14 eV/atom. Its uncorrected formation energy is 66.7 meV per atom.


VASP calculation (GGA-PBE) on an optimized crystal structure of CrTeIr2W.

a b c (Å): 4.7784 4.5645 4.7784
angles (deg): 90.00 90.00 90.00
Element x y z (fractional)
Cr1 0.0000 0.5000 0.0000
Ir1 0.0000 0.0000 0.5000
Ir2 0.5000 0.0000 0.0000
Te1 0.0000 0.0000 0.0000
W1 0.5000 0.5000 0.5000

Properties
The spin magnetization comes out at 2.94 μB/f.u. The value obtained for the raw total energy is -6.50 eV/atom. Its uncorrected formation energy is 2188.0 meV per atom.


VASP calculation (GGA-PBE) on an optimized crystal structure of YCr2TeIr.

a b c (Å): 4.8885 5.0309 4.8885
angles (deg): 90.00 90.00 90.00
Element x y z (fractional)
Y1 0.5000 0.5000 0.5000
Cr1 0.0000 0.0000 0.5000
Cr2 0.5000 0.0000 0.0000
Ir1 0.0000 0.5000 0.0000
Te1 0.0000 0.0000 0.0000

Properties
The spin magnetization comes out at 7.16 μB/f.u. The value obtained for the raw total energy is -6.75 eV/atom. Its uncorrected formation energy is 793.4 meV per atom.


VASP calculation (GGA-PBE) on an optimized crystal structure of ZnCr2TeIr.

a b c (Å): 4.7142 4.6124 4.7142
angles (deg): 90.00 90.00 90.00
Element x y z (fractional)
Cr1 0.0000 0.0000 0.5000
Cr2 0.5000 0.0000 0.0000
Zn1 0.0000 0.0000 0.0000
Ir1 0.0000 0.5000 0.0000
Te1 0.5000 0.5000 0.5000

Properties
The spin magnetization comes out at 8.42 μB/f.u. The value obtained for the raw total energy is -5.52 eV/atom. Its uncorrected formation energy is 986.4 meV per atom.


VASP calculation (GGA-PBE) on an optimized crystal structure of ZrCrTeIr2.

a b c (Å): 4.5399 4.8699 4.5399
angles (deg): 90.00 90.00 90.00
Element x y z (fractional)
Cr1 0.0000 0.0000 0.0000
Ir1 0.0000 0.0000 0.5000
Ir2 0.5000 0.0000 0.0000
Te1 0.5000 0.5000 0.5000
Zr1 0.0000 0.5000 0.0000

Properties
The spin magnetization comes out at 0.00 μB/f.u. The value obtained for the raw total energy is -7.12 eV/atom. Its uncorrected formation energy is 683.7 meV per atom.


VASP calculation (GGA-PBE) on an optimized crystal structure of TiCrIr2.

a b c (Å): 3.9249 3.9249 8.7312
angles (deg): 77.01 77.01 90.00
Element x y z (fractional)
Cr1 0.0000 0.0000 0.0000
Cr2 0.7500 0.2500 0.5000
Ir1 0.6422 0.1250 0.2500
Ir2 0.1078 0.6250 0.2500
Ir3 0.3750 0.3578 0.7500
Ir4 0.8750 0.8922 0.7500
Ti1 0.5000 0.5000 0.0000
Ti2 0.2500 0.7500 0.5000

Properties
The spin magnetization comes out at 0.05 μB/f.u. The calculation puts the formation enthalpy at 0 K at 76 kJ/mol of formula units. The value obtained for the raw total energy is -8.61 eV/atom.


VASP calculation (GGA-PBE) on an optimized crystal structure of TiCrIr2.

a b c (Å): 4.3629 4.3629 4.3629
angles (deg): 60.00 60.00 60.00
Element x y z (fractional)
Cr1 0.5000 0.5000 0.5000
Ir1 0.2500 0.2500 0.2500
Ir2 0.7500 0.7500 0.7500
Ti1 0.0000 0.0000 0.0000

Properties
The spin magnetization comes out at 3.98 μB/f.u. The calculation puts the formation enthalpy at 0 K at -153 kJ/mol of formula units. The value obtained for the raw total energy is -9.21 eV/atom.


VASP calculation (GGA-PBE) on an optimized crystal structure of Ti6CrIr5.

a b c (Å): 4.2930 6.4407 6.7807
angles (deg): 90.00 71.55 90.00
Element x y z (fractional)
Cr1 0.0000 0.0000 0.0000
Ir1 0.6674 0.5000 0.6652
Ir2 0.3328 0.0000 0.3343
Ir3 0.0000 0.5000 0.0000
Ir4 0.6672 0.0000 0.6657
Ir5 0.3326 0.5000 0.3348
Ti1 0.8365 0.7555 0.3270
Ti2 0.8365 0.2445 0.3270
Ti3 0.5000 0.2397 0.0000
Ti4 0.5000 0.7603 0.0000
Ti5 0.1635 0.7555 0.6730
Ti6 0.1635 0.2445 0.6730

Properties
The spin magnetization comes out at 0.00 μB/f.u. The calculation puts the formation enthalpy at 0 K at -888 kJ/mol of formula units. The value obtained for the raw total energy is -9.21 eV/atom.


VASP calculation (GGA-PBE) on an optimized crystal structure of TiCr3Ir.

a b c (Å): 4.1832 4.1832 4.1832
angles (deg): 90.00 90.00 90.00
Element x y z (fractional)
Cr1 0.0000 0.5000 0.0000
Cr2 0.0000 0.0000 0.5000
Cr3 0.5000 0.0000 0.0000
Ir1 0.5000 0.5000 0.5000
Ti1 0.0000 0.0000 0.0000

Properties
The spin magnetization comes out at 0.00 μB/f.u. The calculation puts the formation enthalpy at 0 K at 698 kJ/mol of formula units. The value obtained for the raw total energy is -7.68 eV/atom.


VASP calculation (GGA-PBE) on an optimized crystal structure of TiCrIr3.

a b c (Å): 4.5284 4.5284 4.5284
angles (deg): 90.00 90.00 90.00
Element x y z (fractional)
Cr1 0.5000 0.5000 0.5000
Ir1 0.0000 0.5000 0.0000
Ir2 0.0000 0.0000 0.5000
Ir3 0.5000 0.0000 0.0000
Ti1 0.0000 0.0000 0.0000

Properties
The spin magnetization comes out at 0.53 μB/f.u. The calculation puts the formation enthalpy at 0 K at 707 kJ/mol of formula units. The value obtained for the raw total energy is -7.35 eV/atom.


VASP calculation (GGA-PBE) on an optimized crystal structure of TiCr3Ir.

a b c (Å): 4.6516 4.6516 4.6516
angles (deg): 90.00 90.00 90.00
Element x y z (fractional)
Cr1 0.0000 0.5000 0.0000
Cr2 0.0000 0.0000 0.5000
Cr3 0.5000 0.0000 0.0000
Ir1 0.0000 0.0000 0.0000
Ti1 0.5000 0.5000 0.5000

Properties
The spin magnetization comes out at 7.06 μB/f.u. The calculation puts the formation enthalpy at 0 K at 583 kJ/mol of formula units. The value obtained for the raw total energy is -7.92 eV/atom.


VASP calculation (GGA-PBE) on an optimized crystal structure of TiCr2Ir2.

a b c (Å): 7.2837 7.2837 2.7005
angles (deg): 90.00 90.00 90.00
Element x y z (fractional)
Cr1 0.1675 0.6675 0.5000
Cr2 0.6675 0.8325 0.5000
Cr3 0.8325 0.3325 0.5000
Cr4 0.3325 0.1675 0.5000
Ir1 0.3689 0.8689 0.0000
Ir2 0.8689 0.6311 0.0000
Ir3 0.6311 0.1311 0.0000
Ir4 0.1311 0.3689 0.0000
Ti1 0.0000 0.0000 0.0000
Ti2 0.5000 0.5000 0.0000

Properties
The spin magnetization comes out at 0.00 μB/f.u. The calculation puts the formation enthalpy at 0 K at -76 kJ/mol of formula units. The value obtained for the raw total energy is -9.13 eV/atom.


VASP calculation (GGA-PBE) on an optimized crystal structure of Ti2CrIr5.

a b c (Å): 3.9280 5.4423 10.8485
angles (deg): 90.00 90.00 90.00
Element x y z (fractional)
Ti1 0.5000 0.2828 0.3671
Ti2 0.5000 0.7172 0.6329
Ti3 0.5000 0.2172 0.8671
Ti4 0.5000 0.7828 0.1329
Cr1 0.0000 0.0000 0.5000
Cr2 0.0000 0.5000 0.0000
Ir1 0.5000 0.2767 0.1180
Ir2 0.5000 0.7233 0.8820
Ir3 0.5000 0.7767 0.3820
Ir4 0.5000 0.2233 0.6180
Ir5 0.0000 0.9717 0.7476
Ir6 0.0000 0.0283 0.2524
Ir7 0.0000 0.4717 0.7524
Ir8 0.0000 0.5283 0.2476
Ir9 0.0000 0.5000 0.5000
Ir10 0.0000 0.0000 0.0000

Properties
The spin magnetization comes out at 2.64 μB/f.u. The calculation puts the formation enthalpy at 0 K at -484 kJ/mol of formula units. The value obtained for the raw total energy is -9.34 eV/atom.


VASP calculation (GGA-PBE) on an optimized crystal structure of Ti2CrIr.

a b c (Å): 3.0389 3.0389 6.2087
angles (deg): 90.00 90.00 90.00
Element x y z (fractional)
Cr1 0.5000 0.5000 0.0000
Ir1 0.5000 0.5000 0.5000
Ti1 0.0000 0.0000 0.7631
Ti2 0.0000 0.0000 0.2369

Properties
The spin magnetization comes out at 0.00 μB/f.u. The calculation puts the formation enthalpy at 0 K at -208 kJ/mol of formula units. The value obtained for the raw total energy is -9.11 eV/atom.


VASP calculation (GGA-PBE) on an optimized crystal structure of Ti2Cr2Ir.

a b c (Å): 6.1547 6.1547 3.9425
angles (deg): 90.00 90.00 90.00
Element x y z (fractional)
Cr1 0.3802 0.8802 0.0000
Cr2 0.8802 0.6198 0.0000
Cr3 0.6198 0.1198 0.0000
Cr4 0.1198 0.3802 0.0000
Ir1 0.0000 0.0000 0.0000
Ir2 0.5000 0.5000 0.0000
Ti1 0.1779 0.6779 0.5000
Ti2 0.6779 0.8221 0.5000
Ti3 0.8221 0.3221 0.5000
Ti4 0.3221 0.1779 0.5000

Properties
The spin magnetization comes out at 0.00 μB/f.u. The calculation puts the formation enthalpy at 0 K at -26 kJ/mol of formula units. The value obtained for the raw total energy is -8.83 eV/atom.


Calculated values (states/eV/f.u.) of DOS(E_F) for the records, taken in order: 4.4 3.9 4.2 4.1 3.0 5.8 1.7 1.1 1.9 3.4 3.0 5.0 1.8 8.3 6.5 4.9 3.8 3.9 3.6 6.4 5.5 13.4 6.4 6.5 6.6 2.3 7.1.